{
  "formula": "ThAl4Fe4",
  "functional": "PBE-GGA",
  "state": "relaxed",
  "cell": [[-4.412, 4.412, 1.943], [4.412, -4.412, 1.943], [4.412, 4.412, -1.943]],
  "species": ["Th", "Al", "Al", "Al", "Al", "Fe", "Fe", "Fe", "Fe"],
  "fractional_positions": [[0.000, 0.000, 0.000], [0.166, 0.542, 0.708], [0.458, 0.166, 0.624], [0.542, 0.834, 0.376], [0.834, 0.458, 0.292], [0.212, 0.282, 0.494], [0.282, 0.788, 0.070], [0.718, 0.212, 0.930], [0.788, 0.718, 0.506]],
  "space_group": "No. 87",
  "dft_energy_ev_per_atom": -6.19,
  "m_tot_mub_per_cell": 0.00,
  "formation_energy_ev_per_atom": 0.063,
  "rho_g_cm3": 6.2
}

---

{
  "formula": "LuGa2Sn",
  "functional": "PBE-GGA",
  "state": "relaxed",
  "cell": [[4.428, 0.000, 0.000], [0.000, 4.428, 0.000], [0.000, 0.000, 4.288]],
  "species": ["Lu", "Ga", "Ga", "Sn"],
  "fractional_positions": [[0.000, 0.000, 0.000], [0.000, 0.500, 0.500], [0.500, 0.000, 0.500], [0.500, 0.500, 0.000]],
  "space_group": "No. 123",
  "dft_energy_ev_per_atom": -4.06,
  "m_tot_mub_per_cell": 0.00,
  "formation_energy_ev_per_atom": -0.419,
  "rho_g_cm3": 8.6
}